Record 1
# K3H2I3

K3H2I3 after structural relaxation (PBE, the Alexandria database).

Structure (POSCAR):
```
K3H2I3
1.0
-3.4082 -1.0454 2.7822
5.8379 -2.4932 2.5395
2.7160 15.7930 9.2614
I K H
6 6 4
direct
0.6356 0.2711 0.7500
0.3716 0.7432 0.5654
0.3644 0.7289 0.2500
0.3716 0.7432 0.9346
0.6284 0.2568 0.4346
0.6284 0.2568 0.0654
0.0963 0.1926 0.5939
0.9037 0.8074 0.4061
0.3568 0.7136 0.7500
0.6432 0.2864 0.2500
0.9037 0.8074 0.0939
0.0963 0.1926 0.9061
0.8911 0.7822 0.8506
0.8911 0.7822 0.6494
0.1089 0.2178 0.1494
0.1089 0.2178 0.3506
```

Output
Distance to the lowest polymorph of the same formula   53.9 kJ/mol of atoms

=====

Record 2
# CaLaGdHg

CaLaGdHg after structural relaxation (PBE, the Alexandria database).

Structure (POSCAR):
```
CaLaGdHg
1.0
5.6023 0.0000 0.0000
2.8012 4.8517 0.0000
2.8012 1.6172 4.5743
Hg Gd La Ca
1 1 1 1
direct
0.7500 0.7500 0.7500
0.5000 0.5000 0.5000
0.0000 0.0000 0.0000
0.2500 0.2500 0.2500
```

Output
Formation energy from the elements   -0.090 eV/atom

=====

Record 3
# BaPdSI2

BaPdSI2 after structural relaxation (PBE, the Alexandria database).

Structure (POSCAR):
```
BaPdSI2
1.0
5.5628 0.0000 0.0000
0.0000 5.9605 0.0000
0.0000 0.0000 5.5628
Pd Ba I S
1 1 2 1
direct
0.5000 0.5000 0.5000
0.0000 0.5000 0.0000
0.0000 0.0000 0.5000
0.5000 0.0000 0.0000
0.0000 0.0000 0.0000
```

Output
Formation energy (no corrections)   -51 kJ/mol of formula units

=====

Record 4
# Zr2BiBr

Zr2BiBr after structural relaxation (PBE, the Alexandria database).

Structure (POSCAR):
```
Zr2BiBr
1.0
0.0000 3.5687 3.5687
3.5687 0.0000 3.5687
3.5687 3.5687 0.0000
Br Zr Bi
1 2 1
direct
0.0000 0.0000 0.0000
0.2500 0.2500 0.2500
0.7500 0.7500 0.7500
0.5000 0.5000 0.5000
```

Output
Distance to the lowest polymorph of the same formula   0.0 kJ/mol of atoms
Formation energy (no corrections)   -125 kJ/mol of formula units

=====

So what do the calculations give for total energy? Going down the list: -0.174, -0.398, -0.219, -0.440 Ry/atom.
So what do the calculations give for magnetization? Going down the list: 0.250, 1.944, 0.000, 0.000 μB/atom.